Entry 1:
A plane-wave DFT calculation with GGA-PBE was carried out for a relaxed structure of YNi2Ge2Ir.

Unit cell a=4.6829 b=4.6829 c=5.3219 alpha=90.00 beta=90.00 gamma=90.00
Last column: nearest neighbours and their distance in Å.
Positions (direct):
1 Y 0.0000 0.0000 0.5000  2 Ir 2.66
2 Ni 0.5000 0.5000 0.7475  2 Ni 2.63-2.69, 4 Ge 2.70
3 Ni 0.5000 0.5000 0.2525  2 Ni 2.63-2.69, 4 Ge 2.70
4 Ge 0.5000 0.0000 0.0000  2 Ir 2.34
5 Ge 0.0000 0.5000 0.0000  2 Ir 2.34
6 Ir 0.0000 0.0000 0.0000  4 Ge 2.34


Entry 2:
A plane-wave DFT calculation with GGA-PBE was carried out for a relaxed structure of Ta3VPd.

Calculated values
E above lowest polymorph	0.000	eV/atom

Unit cell a=4.6008 b=4.6008 c=4.6008 alpha=90.00 beta=90.00 gamma=90.00
Last column: nearest neighbours and their distance in Å.
Positions (direct):
1 Ta 0.0000 0.5000 0.0000  2 V 2.30
2 Ta 0.0000 0.0000 0.5000  2 V 2.30
3 Ta 0.5000 0.0000 0.0000  2 V 2.30
4 Pd 0.5000 0.5000 0.5000  12 Ta 3.25
5 V 0.0000 0.0000 0.0000  6 Ta 2.30


no.,mass density (g/cm3),VASP energy (eV per atom)
1,7.7,-6.008
2,11.9,-8.870